1.
Compound: NaNdZnSe3
Source: the Open Quantum Materials Database
Functional: PBE
Structure: relaxed

Unit cell a=8.4053 b=4.2178 c=16.8791 alpha=90.00 beta=90.00 gamma=90.00
Last column: nearest neighbours and their distance in Å.
Fractional positions:
Na 0.4323 0.2500 0.2258  5 Se 3.04-3.21
Na 0.9323 0.2500 0.2742  5 Se 3.04-3.21
Na 0.0677 0.7500 0.7258  5 Se 3.04-3.21
Na 0.5677 0.7500 0.7742  5 Se 3.04-3.21
Nd 0.7382 0.7500 0.0495  7 Se 2.88-3.18
Nd 0.2382 0.7500 0.4505  7 Se 2.88-3.18
Nd 0.7618 0.2500 0.5495  7 Se 2.88-3.18
Nd 0.2618 0.2500 0.9505  7 Se 2.88-3.18
Se 0.3736 0.7500 0.0585  1 Zn 2.48
Se 0.0008 0.2500 0.0872  2 Zn 2.56
Se 0.6930 0.7500 0.2186  1 Zn 2.39
Se 0.1930 0.7500 0.2814  1 Zn 2.39
Se 0.5008 0.2500 0.4128  2 Zn 2.56
Se 0.8736 0.7500 0.4415  1 Zn 2.48
Se 0.1264 0.2500 0.5585  1 Zn 2.48
Se 0.4992 0.7500 0.5872  2 Zn 2.56
Se 0.8070 0.2500 0.7186  1 Zn 2.39
Se 0.3070 0.2500 0.7814  1 Zn 2.39
Se 0.9992 0.7500 0.9128  2 Zn 2.56
Se 0.6264 0.2500 0.9415  1 Zn 2.48
Zn 0.1318 0.7500 0.1430  4 Se 2.39-2.56
Zn 0.6318 0.7500 0.3570  4 Se 2.39-2.56
Zn 0.3682 0.2500 0.6430  4 Se 2.39-2.56
Zn 0.8682 0.2500 0.8570  4 Se 2.39-2.56

Summary:
Symmetry: Pnma, No. 62
Energy above the most stable polymorph in this dataset (eV/atom): 0.0551



2.
Compound: NaNdZnSe3
Source: the Open Quantum Materials Database
Functional: PBE
Structure: relaxed

Unit cell a=8.2854 b=4.1495 c=9.9665 alpha=90.00 beta=103.21 gamma=90.00
Last column: nearest neighbours and their distance in Å.
Fractional positions:
Na 0.2727 0.7500 0.2514  4 Se 3.01-3.09
Na 0.7273 0.2500 0.7486  4 Se 3.01-3.09
Nd 0.8099 0.7500 0.3602  6 Se 2.93-3.13
Nd 0.1901 0.2500 0.6398  6 Se 2.93-3.13
Se 0.7218 0.7500 0.0379  3 Zn 2.55-2.56
Se 0.0564 0.2500 0.3412  3 Nd 2.93-2.95, 2 Na 3.01
Se 0.5533 0.2500 0.3430  1 Zn 2.45
Se 0.4467 0.7500 0.6570  1 Zn 2.45
Se 0.9436 0.7500 0.6588  3 Nd 2.93-2.95, 2 Na 3.01
Se 0.2782 0.2500 0.9621  3 Zn 2.55-2.56
Zn 0.5780 0.2500 0.1027  4 Se 2.45-2.56
Zn 0.4220 0.7500 0.8973  4 Se 2.45-2.56

Summary:
Symmetry: P2_1/m, No. 11
Energy above the most stable polymorph in this dataset (eV/atom): 0.0112



3.
Compound: NaNdSi
Source: the Open Quantum Materials Database
Functional: PBE
Structure: relaxed

Unit cell a=4.9458 b=4.9458 c=4.9458 alpha=60.00 beta=60.00 gamma=60.00
Last column: nearest neighbours and their distance in Å.
Fractional positions:
Na 0.2500 0.2500 0.2500  4 Si 3.03
Nd 0.7500 0.7500 0.7500  4 Si 3.03
Si 0.0000 0.0000 0.0000  4 Nd 3.03, 4 Na 3.03

Summary:
Symmetry: F-43m, No. 216



Computed calculated density, in the same sequence as the records: 5.2, 4.7, 3.8 Mg/m³.
Computed DFT total energy, in the same sequence as the records: -4.213, -4.257, -4.060 eV per atom.